No. 1
Compound: Y5TmAl4
Source: Alexandria via LeMat-Bulk
Functional: PBE
Structure: relaxed

Lattice parameters (Å, degrees): 3.576 3.576 19.678 90.00 90.00 90.00
Fractional coordinates of all 10 atoms:
Tm (0.000, 0.000, 0.000)
Al (0.000, 0.000, 0.781)
Al (0.000, 0.000, 0.407)
Al (0.000, 0.000, 0.593)
Al (0.000, 0.000, 0.219)
Y (0.500, 0.500, 0.500)
Y (0.500, 0.500, 0.126)
Y (0.500, 0.500, 0.874)
Y (0.500, 0.500, 0.686)
Y (0.500, 0.500, 0.314)

No. 2
Compound: Y2TmAl
Source: Alexandria via LeMat-Bulk
Functional: PBE
Structure: relaxed

Lattice parameters (Å, degrees): 5.340 5.340 5.340 60.00 60.00 60.00
Fractional coordinates of all 4 atoms:
Al (0.500, 0.500, 0.500)
Y (0.250, 0.250, 0.250)
Y (0.750, 0.750, 0.750)
Tm (0.000, 0.000, 0.000)

Results
E above lowest polymorph: 0.1308 eV per atom

No. 3
Compound: YTmAl
Source: Alexandria via LeMat-Bulk
Functional: PBE
Structure: relaxed

Lattice parameters (Å, degrees): 4.703 4.703 7.455 90.00 90.00 90.00
Fractional coordinates of all 6 atoms:
Tm (0.000, 0.500, 0.753)
Tm (0.500, 0.000, 0.247)
Al (0.500, 0.500, 0.000)
Al (0.000, 0.000, 0.000)
Y (0.000, 0.500, 0.284)
Y (0.500, 0.000, 0.716)

Results
E above lowest polymorph: 0.1811 eV per atom

No. 4
Compound: YTm3Al2
Source: Alexandria via LeMat-Bulk
Functional: PBE
Structure: relaxed

Lattice parameters (Å, degrees): 5.128 8.799 8.919 124.54 90.00 106.94
Fractional coordinates of all 12 atoms:
Tm (0.060, 0.121, 0.405)
Tm (0.617, 0.234, 0.699)
Tm (0.687, 0.374, 0.384)
Tm (0.940, 0.879, 0.595)
Tm (0.383, 0.766, 0.301)
Tm (0.313, 0.626, 0.616)
Y (0.131, 0.263, 0.084)
Y (0.869, 0.737, 0.916)
Al (0.234, 0.468, 0.867)
Al (0.766, 0.532, 0.133)
Al (0.525, 0.050, 0.890)
Al (0.475, 0.950, 0.110)

Results
E above lowest polymorph: 0.1037 eV per atom

No. 5
Compound: Y3TmAl4
Source: Alexandria via LeMat-Bulk
Functional: PBE
Structure: relaxed

Lattice parameters (Å, degrees): 3.592 3.592 14.342 90.00 90.00 90.00
Fractional coordinates of all 8 atoms:
Y (0.500, 0.500, 0.247)
Y (0.500, 0.500, 0.753)
Y (0.500, 0.500, 0.500)
Al (0.000, 0.000, 0.626)
Al (0.000, 0.000, 0.120)
Al (0.000, 0.000, 0.374)
Al (0.000, 0.000, 0.880)
Tm (0.500, 0.500, 0.000)

No. 6
Compound: YTm3Al
Source: Alexandria via LeMat-Bulk
Functional: PBE
Structure: relaxed

Lattice parameters (Å, degrees): 6.584 9.417 9.417 90.49 96.23 96.23
Fractional coordinates of all 20 atoms:
Tm (0.025, 0.261, 0.099)
Tm (0.525, 0.099, 0.261)
Tm (0.019, 0.994, 0.311)
Tm (0.884, 0.321, 0.469)
Tm (0.116, 0.679, 0.531)
Tm (0.975, 0.739, 0.901)
Tm (0.481, 0.689, 0.006)
Tm (0.981, 0.006, 0.689)
Tm (0.616, 0.531, 0.679)
Tm (0.475, 0.901, 0.739)
Tm (0.384, 0.469, 0.321)
Tm (0.519, 0.311, 0.994)
Y (0.132, 0.426, 0.792)
Y (0.868, 0.574, 0.208)
Y (0.632, 0.792, 0.426)
Y (0.368, 0.208, 0.574)
Al (0.250, 0.007, 0.993)
Al (0.750, 0.993, 0.007)
Al (0.750, 0.223, 0.777)
Al (0.250, 0.777, 0.223)

Results
E above lowest polymorph: 0.1770 eV per atom

No. 7
Compound: Y2TmAl
Source: Alexandria via LeMat-Bulk
Functional: PBE
Structure: relaxed

Lattice parameters (Å, degrees): 4.724 4.765 4.765 90.00 90.00 90.00
Fractional coordinates of all 4 atoms:
Tm (0.500, 0.500, 0.500)
Y (0.000, 0.000, 0.500)
Y (0.000, 0.500, 0.000)
Al (0.500, 0.000, 0.000)

Results
E above lowest polymorph: 0.0163 eV per atom

No. 8
Compound: Y9Tm4Al11
Source: Alexandria via LeMat-Bulk
Functional: PBE
Structure: relaxed

Lattice parameters (Å, degrees): 3.369 13.491 13.491 110.58 90.00 90.00
Fractional coordinates of all 24 atoms:
Al (0.000, 0.957, 0.587)
Al (0.000, 0.622, 0.378)
Al (0.000, 0.186, 0.814)
Al (0.000, 0.413, 0.043)
Al (0.000, 0.207, 0.207)
Al (0.000, 0.587, 0.957)
Al (0.000, 0.793, 0.793)
Al (0.000, 0.814, 0.186)
Al (0.000, 0.043, 0.413)
Al (0.000, 0.378, 0.622)
Al (0.000, 0.000, 0.000)
Tm (0.500, 0.410, 0.243)
Tm (0.500, 0.243, 0.410)
Tm (0.500, 0.757, 0.590)
Tm (0.500, 0.590, 0.757)
Y (0.500, 0.500, 0.500)
Y (0.500, 0.985, 0.796)
Y (0.500, 0.614, 0.161)
Y (0.500, 0.386, 0.839)
Y (0.500, 0.161, 0.614)
Y (0.500, 0.839, 0.386)
Y (0.500, 0.015, 0.204)
Y (0.500, 0.204, 0.015)
Y (0.500, 0.796, 0.985)

No. 9
Compound: YTm4Al
Source: Alexandria via LeMat-Bulk
Functional: PBE
Structure: relaxed

Lattice parameters (Å, degrees): 6.151 8.889 8.068 113.70 99.56 112.99
Fractional coordinates of all 12 atoms:
Tm (0.036, 0.158, 0.758)
Tm (0.372, 0.914, 0.629)
Tm (0.242, 0.284, 0.371)
Tm (0.964, 0.842, 0.242)
Tm (0.222, 0.600, 0.758)
Tm (0.778, 0.400, 0.242)
Tm (0.758, 0.716, 0.629)
Tm (0.628, 0.086, 0.371)
Y (0.660, 0.410, 0.820)
Y (0.340, 0.590, 0.180)
Al (0.249, 0.999, 0.999)
Al (0.751, 0.001, 0.001)

Results
E above lowest polymorph: 0.0833 eV per atom

No. 10
Compound: YTmAl
Source: Alexandria via LeMat-Bulk
Functional: PBE
Structure: relaxed

Lattice parameters (Å, degrees): 3.548 5.040 5.040 120.00 90.00 90.00
Fractional coordinates of all 3 atoms:
Y (0.378, 0.333, 0.667)
Al (0.686, 0.667, 0.333)
Tm (0.936, 0.000, 0.000)

Results
E above lowest polymorph: 0.1092 eV per atom

No. 11
Compound: YTm5Al6
Source: Alexandria via LeMat-Bulk
Functional: PBE
Structure: relaxed

Lattice parameters (Å, degrees): 5.044 7.087 7.979 90.00 71.58 90.00
Fractional coordinates of all 12 atoms:
Al (0.832, 0.252, 0.335)
Al (0.832, 0.748, 0.335)
Al (0.168, 0.748, 0.665)
Al (0.168, 0.252, 0.665)
Al (0.500, 0.748, 0.000)
Al (0.500, 0.252, 0.000)
Tm (0.334, 0.500, 0.332)
Tm (0.000, 0.500, 0.000)
Tm (0.667, 0.000, 0.666)
Tm (0.333, 0.000, 0.334)
Tm (0.666, 0.500, 0.668)
Y (0.000, 0.000, 0.000)

No. 12
Compound: Y3Tm2Al9
Source: Alexandria via LeMat-Bulk
Functional: PBE
Structure: relaxed

Lattice parameters (Å, degrees): 4.460 8.881 8.881 66.68 75.46 75.46
Fractional coordinates of all 14 atoms:
Al (0.859, 0.865, 0.417)
Al (0.330, 0.034, 0.306)
Al (0.330, 0.306, 0.034)
Al (0.670, 0.694, 0.966)
Al (0.670, 0.966, 0.694)
Al (0.141, 0.583, 0.135)
Al (0.000, 0.500, 0.500)
Al (0.141, 0.135, 0.583)
Al (0.859, 0.417, 0.865)
Tm (0.500, 0.696, 0.304)
Tm (0.500, 0.304, 0.696)
Y (0.700, 0.300, 0.300)
Y (0.300, 0.700, 0.700)
Y (0.000, 0.000, 0.000)

no.,DOS at the Fermi energy (states/eV/cell),E_form (eV per atom)
1,7.6,-0.33
2,5.9,-0.07
3,6.9,-0.09
4,11.6,-0.20
5,3.3,-0.41
6,27.3,0.02
7,5.0,-0.19
8,14.9,-0.34
9,14.2,-0.04
10,2.1,-0.16
11,4.8,-0.39
12,7.8,-0.36